# 1
# Ce2GdEr

An optimized crystal structure of Ce2GdEr (PBE-GGA, Alexandria).

a b c (Å): 12.4093 12.4093 12.4093
angles (deg): 15.54 15.54 15.54
With the nearest neighbours (Å) after each atom.
Element x y z (fractional)
Ce (0.0853, 0.0853, 0.0853)  1 Er 3.14, 6 Ce 3.36
Ce (0.9147, 0.9147, 0.9147)  1 Er 3.14, 6 Ce 3.36
Gd (0.5000, 0.5000, 0.5000)  6 Gd 3.36, 6 Ce 3.56
Er (0.0000, 0.0000, 0.0000)  2 Ce 3.14, 6 Er 3.36

Results
distance to the lowest polymorph of the same formula = 131.1 meV/atom
DOS at the Fermi energy = 11.26 states/eV per cell
spin magnetization = 5.83 Bohr magnetons per cell
volume = 119.5 Å³ per cell
DFT formation energy = 0.940 eV per formula unit
crystal system = trigonal

=====

# 2
# AcZnAg2

An optimized crystal structure of AcZnAg2 (PBE-GGA, Alexandria).

a b c (Å): 5.8882 5.8882 5.8882
angles (deg): 46.74 46.74 46.74
With the nearest neighbours (Å) after each atom.
Element x y z (fractional)
Ac (0.0000, 0.0000, 0.0000)  8 Ag 3.26-3.34
Zn (0.5000, 0.5000, 0.5000)  6 Ag 2.77
Ag (0.2074, 0.2074, 0.2074)  3 Zn 2.77, 3 Ag 2.98
Ag (0.7926, 0.7926, 0.7926)  3 Zn 2.77, 3 Ag 2.98

Results
DOS at the Fermi energy = 2.22 states/eV per cell
spin magnetization = 0.00 Bohr magnetons per cell
volume = 98.9 Å³ per cell
DFT formation energy = -0.919 eV per formula unit
crystal system = trigonal